[1]
YHo8Sc6: optimized geometry, PBE.

abc: 11.9104 11.9104 3.5740
angles: 90.00 90.00 120.00
Positions (direct):
Sc 0.3702 0.4837 0.4992
Sc 0.8865 0.3702 0.5008
Sc 0.4837 0.1135 0.5008
Sc 0.5163 0.8865 0.4992
Sc 0.6298 0.5163 0.5008
Sc 0.1135 0.6298 0.4992
Ho 0.9039 0.6716 0.9998
Ho 0.6667 0.3333 0.0010
Ho 0.0961 0.3284 0.0002
Ho 0.2323 0.9039 0.0002
Ho 0.3333 0.6667 0.9990
Ho 0.3284 0.2323 0.9998
Ho 0.7677 0.0961 0.9998
Ho 0.6716 0.7677 0.0002
Y 0.0000 0.0000 0.5000

Results
mass density = 6.3 g/cm³
space-group type = P6/m
crystal system = hexagonal
DOS(E_F) = 21.10 states/eV/f.u.
calculated formation energy = 0.198 eV/atom

[2]
InCo3Mo: optimized geometry, PBE.

abc: 4.4344 4.4344 4.4344
angles: 90.00 90.00 90.00
Site moments in Bohr magnetons follow the coordinates.
Positions (direct):
In 0.5000 0.5000 0.5000  0.00
Mo 0.0000 0.0000 0.0000  0.00
Co 0.0000 0.0000 0.5000  0.06
Co 0.0000 0.5000 0.0000  0.04
Co 0.5000 0.0000 0.0000  0.04

Results
mass density = 7.4 g/cm³
space-group type = Pm-3m
crystal system = cubic
DOS(E_F) = 6.75 states/eV/f.u.
calculated formation energy = 1.227 eV/atom

[3]
LaTb14Sm: optimized geometry, PBE.

abc: 7.1821 7.1821 11.5798
angles: 90.00 90.00 119.91
Positions (direct):
Tb 0.8750 0.6256 0.2466
Tb 0.3751 0.6249 0.7505
Tb 0.5416 0.9571 0.0000
Tb 0.8750 0.6256 0.7534
Tb 0.8753 0.1247 0.7524
Tb 0.5414 0.4586 0.0000
Tb 0.3751 0.6249 0.2495
Tb 0.2081 0.2915 0.5000
Tb 0.0419 0.9581 0.0000
Tb 0.0429 0.4584 0.0000
Tb 0.8753 0.1247 0.2476
Tb 0.3744 0.1250 0.2466
Tb 0.3744 0.1250 0.7534
Tb 0.7085 0.7919 0.5000
Sm 0.2080 0.7920 0.5000
La 0.7079 0.2921 0.5000

Results
mass density = 8.1 g/cm³
space-group type = Amm2
crystal system = orthorhombic
DOS(E_F) = 17.51 states/eV/f.u.
calculated formation energy = 0.005 eV/atom

[4]
ZrZnP2Cl: optimized geometry, PBE.

abc: 5.0855 5.0855 5.0057
angles: 90.00 90.00 90.00
Positions (direct):
Cl 0.0000 0.0000 0.5000
P 0.5000 0.0000 0.0000
P 0.0000 0.5000 0.0000
Zn 0.5000 0.5000 0.5000
Zr 0.0000 0.0000 0.0000

Results
energy relative to the elements, uncorrected = 0.006 eV per atom
mass density = 3.3 g/cm³
space-group type = P4/mmm
crystal system = tetragonal
DOS(E_F) = 4.47 states/eV/f.u.

[5]
Cs6KF8: optimized geometry, PBE.

abc: 4.4954 10.6887 10.6887
angles: 120.00 90.00 90.00
Site moments in Bohr magnetons follow the coordinates.
Positions (direct):
F 0.7347 0.3333 0.6667  0.15
F 0.7239 0.7419 0.7424  0.13
F 0.7239 0.0005 0.2581  0.13
F 0.2761 0.7424 0.0005  0.13
F 0.2653 0.6667 0.3333  0.15
F 0.2761 0.2581 0.2576  0.13
F 0.7239 0.2576 0.9995  0.13
F 0.2761 0.9995 0.7419  0.13
Cs 0.7731 0.8656 0.5707  0.01
Cs 0.2269 0.1344 0.4293  0.01
Cs 0.2269 0.5707 0.7051  0.01
Cs 0.2269 0.2949 0.8656  0.01
Cs 0.7731 0.4293 0.2949  0.01
Cs 0.7731 0.7051 0.1344  0.01
K 0.5000 0.0000 0.0000  0.00

Results
energy relative to the elements, uncorrected = -2.409 eV per atom
mass density = 3.7 g/cm³
space-group type = P-3
crystal system = trigonal
DOS(E_F) = 27.75 states/eV/f.u.

[6]
Ni2TeHN: optimized geometry, PBE.

abc: 4.6790 3.5325 4.6790
angles: 90.00 90.00 90.00
Positions (direct):
Ni 0.5000 0.0000 0.0000
Ni 0.0000 0.0000 0.5000
N 0.5000 0.5000 0.5000
Te 0.0000 0.0000 0.0000
H 0.0000 0.5000 0.0000

Results
mass density = 5.6 g/cm³
space-group type = P4/mmm
crystal system = tetragonal
DOS(E_F) = 2.57 states/eV/f.u.
electronic total energy = -18.39 eV per cell

[7]
TaAsIBr2: optimized geometry, PBE.

abc: 5.0614 5.0614 5.3350
angles: 90.00 90.00 90.00
Positions (direct):
Br 0.0000 0.5000 0.0000
Br 0.5000 0.0000 0.0000
I 0.5000 0.5000 0.5000
As 0.0000 0.0000 0.5000
Ta 0.0000 0.0000 0.0000

Results
energy relative to the elements, uncorrected = 0.021 eV per atom
mass density = 6.6 g/cm³
space-group type = P4/mmm
crystal system = tetragonal
DOS(E_F) = 4.46 states/eV/f.u.

[8]
Tb4Y8Er3: optimized geometry, PBE.

abc: 6.7345 9.2718 9.2718
angles: 87.44 111.36 111.36
Site moments in Bohr magnetons follow the coordinates.
Positions (direct):
Y 0.9985 0.7315 0.7315  0.01
Y 0.0000 0.3579 0.6421  0.01
Y 0.5000 0.7484 0.2516  0.05
Y 0.0015 0.2685 0.2685  0.01
Y 0.0000 0.6421 0.3579  0.01
Y 0.5178 0.2646 0.2646  0.02
Y 0.5000 0.2516 0.7484  0.05
Y 0.4822 0.7354 0.7354  0.02
Er 0.5000 0.5000 0.0000  0.01
Er 0.5000 0.0000 0.5000  0.01
Er 0.5000 0.5000 0.5000  0.04
Tb 0.5000 0.0000 0.0000  0.12
Tb 0.0000 0.0000 0.5000  0.01
Tb 0.0000 0.5000 0.0000  0.01
Tb 0.0000 0.0000 0.0000  0.04

Results
mass density = 6.1 g/cm³
space-group type = C2/m
crystal system = monoclinic
DOS(E_F) = 30.63 states/eV/f.u.
calculated formation energy = 0.397 eV/atom

[9]
Mn2HgTeC: optimized geometry, PBE.

abc: 5.3586 3.9124 5.3586
angles: 90.00 90.00 90.00
Site moments in Bohr magnetons follow the coordinates.
Positions (direct):
Mn 0.5000 0.0000 0.0000  4.18
Mn 0.0000 0.0000 0.5000  4.33
Te 0.5000 0.5000 0.5000  0.08
Hg 0.0000 0.0000 0.0000  0.01
C 0.0000 0.5000 0.0000  0.28

Results
energy relative to the elements, uncorrected = 1.496 eV per atom
mass density = 6.7 g/cm³
space-group type = P4/mmm
crystal system = tetragonal
DOS(E_F) = 2.72 states/eV/f.u.

[10]
Pm2PuHg4: optimized geometry, PBE.

abc: 5.2482 5.2482 9.1412
angles: 73.32 73.32 60.00
Site moments in Bohr magnetons follow the coordinates.
Positions (direct):
Hg 0.8745 0.8745 0.3766  0.01
Hg 0.1255 0.1255 0.6234  0.01
Hg 0.3783 0.3783 0.8650  0.03
Hg 0.6217 0.6217 0.1350  0.03
Pu 0.0000 0.0000 0.0000  5.51
Pm 0.7527 0.7527 0.7418  0.07
Pm 0.2473 0.2473 0.2582  0.07

Results
mass density = 10.8 g/cm³
space-group type = R-3m
crystal system = trigonal
DOS(E_F) = 10.95 states/eV/f.u.
calculated formation energy = -0.222 eV/atom

[11]
NpUFeRh: optimized geometry, PBE.

abc: 4.5332 4.5332 4.5332
angles: 60.00 60.00 60.00
Site moments in Bohr magnetons follow the coordinates.
Positions (direct):
U 0.2500 0.2500 0.2500  1.27
Rh 0.5000 0.5000 0.5000  -0.18
Fe 0.7500 0.7500 0.7500  -1.93
Np 0.0000 0.0000 0.0000  2.93

Results
mass density = 16.0 g/cm³
space-group type = F-43m
crystal system = cubic
DOS(E_F) = 2.53 states/eV/f.u.
calculated formation energy = -0.305 eV/atom

[12]
Al4Fe10W: optimized geometry, PBE.

abc: 5.4436 6.6423 6.6423
angles: 80.33 65.81 65.81
Site moments in Bohr magnetons follow the coordinates.
Positions (direct):
Al 0.7641 0.4718 0.0000  -0.03
Al 0.2359 0.5282 0.0000  -0.03
Al 0.7641 0.0000 0.4718  -0.03
Al 0.2359 0.0000 0.5282  -0.03
Fe 0.2500 0.5000 0.5000  2.79
Fe 0.2914 0.2206 0.7794  1.76
Fe 0.5120 0.7794 0.7794  1.76
Fe 0.7086 0.2206 0.7794  1.76
Fe 0.4880 0.2206 0.2206  1.76
Fe 0.7086 0.7794 0.2206  1.76
Fe 0.0707 0.2206 0.2206  1.76
Fe 0.7500 0.5000 0.5000  2.79
Fe 0.9293 0.7794 0.7794  1.76
Fe 0.2914 0.7794 0.2206  1.76
W 0.0000 0.0000 0.0000  -0.48

Results
mass density = 7.1 g/cm³
space-group type = I4/mmm
crystal system = tetragonal
DOS(E_F) = 16.17 states/eV/f.u.
calculated formation energy = 0.214 eV/atom